Here is Sm2ThAl2 after structural relaxation from Alexandria. Energies are from PBE-GGA.

Cell and atoms, written as POSCAR:
```
Sm2ThAl2
1.0
-2.625 2.455 -0.631
-3.695 -3.180 2.998
4.403 7.387 10.432
Al Th Sm
4 2 4
Direct
0.250 0.788 0.661
0.250 0.356 0.956
0.750 0.212 0.339
0.750 0.644 0.044
0.750 0.301 0.760
0.250 0.699 0.240
0.250 0.850 0.889
0.250 0.261 0.538
0.750 0.739 0.462
0.750 0.150 0.111
```

## Properties
Total moment: 0.0 μB/f.u.
DFT total energy: -4.93 eV/atom
Energy of formation from the pure elements: -0.06 eV per atom



Here is CrCoN2 after structural relaxation from Alexandria. Energies are from PBE-GGA.

Cell and atoms, written as POSCAR:
```
CrCoN2
1.0
-3.067 0.990 -0.257
-0.711 -2.850 -2.493
0.753 -2.298 2.413
N Co Cr
2 1 1
Direct
0.698 0.000 0.230
0.968 0.500 0.767
0.630 0.500 0.093
0.036 0.000 0.903
```

## Properties
Raw formation energy: -0.082 eV/atom
Total moment: 0.0 μB/f.u.
DFT total energy: -8.43 eV/atom
Excess energy over the best structure of this formula in the dataset: 147 meV per atom



Here is TaTePb2 after structural relaxation from Alexandria. Energies are from PBE-GGA.

Cell and atoms, written as POSCAR:
```
TaTePb2
1.0
-0.110 3.244 -1.901
-2.118 1.518 2.713
5.973 2.210 3.427
Te Pb Ta
1 2 1
Direct
0.500 0.500 0.750
0.000 0.000 0.467
0.000 0.000 0.033
0.500 0.500 0.250
```

## Properties
Raw formation energy: 0.569 eV/atom
Total moment: 0.0 μB/f.u.
DFT total energy: -5.03 eV/atom



Here is Tb4Pm2S9 after structural relaxation from Alexandria. Energies are from PBE-GGA.

Cell and atoms, written as POSCAR:
```
Tb4Pm2S9
1.0
-2.911 2.271 -5.962
3.048 -1.421 -6.154
-9.840 -15.818 -1.221
Tb S Pm
8 18 4
Direct
0.334 0.333 0.685
0.333 0.333 0.185
0.666 0.667 0.315
0.667 0.667 0.815
0.333 0.333 0.483
0.667 0.667 0.017
0.333 0.333 0.983
0.667 0.667 0.517
0.625 0.032 0.084
0.968 0.657 0.916
0.697 0.303 0.250
0.000 0.697 0.250
0.032 0.343 0.084
0.625 0.343 0.584
0.375 0.657 0.416
0.032 0.625 0.584
0.697 0.000 0.750
0.968 0.375 0.416
0.000 0.303 0.750
0.657 0.375 0.916
0.343 0.032 0.584
0.343 0.625 0.084
0.375 0.968 0.916
0.303 0.000 0.250
0.303 0.697 0.750
0.657 0.968 0.416
0.000 0.000 0.147
0.000 0.000 0.647
0.000 0.000 0.853
0.000 0.000 0.353
```

## Properties
Raw formation energy: -2.047 eV/atom
Total moment: 0.0 μB/f.u.
DFT total energy: -6.39 eV/atom



Here is Sc2InCo after structural relaxation from Alexandria. Energies are from PBE-GGA.

Cell and atoms, written as POSCAR:
```
Sc2InCo
1.0
2.001 0.000 9.144
-1.001 1.733 9.144
-1.001 -1.733 9.144
Sc Co In
2 1 1
Direct
0.114 0.114 0.114
0.886 0.886 0.886
0.500 0.500 0.500
0.000 0.000 0.000
```

## Properties
Total moment: 0.0 μB/f.u.
DFT total energy: -5.63 eV/atom
Energy of formation from the pure elements: 0.00 eV per atom



Here is Ho2CdAu6 after structural relaxation from Alexandria. Energies are from PBE-GGA.

Cell and atoms, written as POSCAR:
```
Ho2CdAu6
1.0
5.204 0.137 -0.093
-0.307 7.907 -4.465
0.149 -0.179 9.083
Au Ho Cd
12 4 2
Direct
0.499 0.334 0.493
0.999 0.493 0.334
0.001 0.507 0.666
0.246 0.589 0.088
0.001 0.166 0.007
0.254 0.912 0.411
0.501 0.666 0.507
0.499 0.993 0.834
0.501 0.007 0.166
0.754 0.411 0.912
0.999 0.834 0.993
0.746 0.088 0.589
0.000 0.161 0.339
0.000 0.839 0.661
0.500 0.661 0.839
0.500 0.339 0.161
0.250 0.250 0.750
0.750 0.750 0.250
```

## Properties
Total moment: 0.0 μB/f.u.
DFT total energy: -3.90 eV/atom
Excess energy over the best structure of this formula in the dataset: 0 meV per atom
Energy of formation from the pure elements: -0.60 eV per atom